! Zr3Zn (GGA-PBE, relaxed); values from VASP
&SYSTEM
  ibrav = 0, nat = 8, ntyp = 2
/
ATOMIC_SPECIES
Zr 91.22 Zr.upf
Zn 65.41 Zn.upf
ATOMIC_POSITIONS angstrom
Zr 4.2322 -5.2227 1.7272
Zr 2.3970 -2.8566 2.7346
Zr 2.8764 -0.9689 -1.0383
Zn 2.1624 -3.7751 -0.1633
Zr 0.4321 -1.4210 0.9115
Zn 3.1110 -0.0505 1.8596
Zr 4.8413 -2.4045 0.7848
Zr -0.1726 -4.2187 1.8471
CELL_PARAMETERS angstrom
-1.2137 -5.6159 1.8781
2.4064 -1.8835 -4.0768
4.6770 -0.0759 2.7957
! energy of formation from the pure elements	-33	kJ/mol of formula units
! spin magnetization	0.0	μB per cell